The following is a DFT calculation (PBE) of a geometry-optimized TiAlV2N structure.

The structure belongs to space group P4/mmm (No. 123); the cell edges are 3.900, 3.900 and 4.243 Å and the angles 90.00°, 90.00° and 90.00°. The inequivalent atoms are Ti at (0.000, 0.000, 0.000), Al at (0.500, 0.500, 0.000), V at (0.000, 0.500, 0.500) and N at (0.000, 0.000, 0.500).

The calculation puts the uncorrected formation energy at -0.715 eV/atom. As for the volume: 64.53 Å³/cell. For the density of states at the Fermi level, the calculation gives 4.4 states/eV per cell.